The following is a PBE-GGA calculation of PrSmInHg after structural relaxation, from Alexandria via LeMat-Bulk.

CIF file:
```
data_PrSmInHg
_chemical_formula_sum 'Pr4 Sm4 In4 Hg4'
_cell_length_a 7.7251
_cell_length_b 7.7251
_cell_length_c 7.7251
_cell_angle_alpha 90.00
_cell_angle_beta 90.00
_cell_angle_gamma 90.00
_symmetry_space_group_name_H-M 'P 1'
_symmetry_Int_Tables_number 1
loop_
_symmetry_equiv_pos_as_xyz
'x,y,z'
loop_
_atom_site_label
_atom_site_type_symbol
_atom_site_fract_x
_atom_site_fract_y
_atom_site_fract_z
Pr1 Pr 0.0000 0.0000 0.0000
Pr2 Pr 0.0000 0.5000 0.5000
Pr3 Pr 0.5000 0.0000 0.5000
Pr4 Pr 0.5000 0.5000 0.0000
Sm1 Sm 0.0000 0.0000 0.5000
Sm2 Sm 0.0000 0.5000 0.0000
Sm3 Sm 0.5000 0.0000 0.0000
Sm4 Sm 0.5000 0.5000 0.5000
In1 In 0.2500 0.2500 0.2500
In2 In 0.2500 0.7500 0.7500
In3 In 0.7500 0.2500 0.7500
In4 In 0.7500 0.7500 0.2500
Hg1 Hg 0.2500 0.2500 0.7500
Hg2 Hg 0.2500 0.7500 0.2500
Hg3 Hg 0.7500 0.2500 0.2500
Hg4 Hg 0.7500 0.7500 0.7500
```

Its density of states at the Fermi level is 19.43 states/eV/cell. For the calculated density, the calculation gives 8.741 g cm⁻³. For the energy relative to the elements, the calculation gives -470 meV per atom. The magnetization is 2.8 μB per cell.